No. 1
Computed, not measured: Be6Al after structural relaxation at the PBE level of DFT.

Properties
The calculation puts the formation energy at 95 meV/atom.

abc: 4.2278 6.8777 8.9270
angles: 90.00 90.00 90.00
Element x y z (fractional)
Al 0.7500 0.2464 0.9195
Al 0.2500 0.2536 0.4195
Al 0.7500 0.7464 0.5805
Al 0.2500 0.7536 0.0805
Be 0.2500 0.3074 0.7578
Be 0.4983 0.4426 0.1926
Be 0.7500 0.5935 0.0137
Be 0.7500 0.9513 0.0936
Be 0.7500 0.6926 0.2422
Be 0.5017 0.0574 0.6926
Be 0.2500 0.0487 0.9064
Be 0.2500 0.8074 0.7422
Be 0.2500 0.4065 0.9863
Be 0.2500 0.5487 0.5936
Be 0.7500 0.1926 0.2578
Be 0.2500 0.6468 0.3564
Be 0.4983 0.9426 0.3074
Be 0.2500 0.9065 0.5137
Be 0.5017 0.5574 0.8074
Be 0.9983 0.0574 0.6926
Be 0.9983 0.5574 0.8074
Be 0.0017 0.4426 0.1926
Be 0.7500 0.4513 0.4064
Be 0.0017 0.9426 0.3074
Be 0.7500 0.8532 0.8564
Be 0.7500 0.3532 0.6436
Be 0.2500 0.1468 0.1436
Be 0.7500 0.0935 0.4863

No. 2
Computed, not measured: BeAlBi2 after structural relaxation at the PBE level of DFT.

Properties
The calculation puts the formation energy at 297 meV/atom.

abc: 6.2075 6.2075 7.4259
angles: 65.29 65.29 90.00
Element x y z (fractional)
Be 0.2500 0.7500 0.5000
Be 0.5000 0.5000 0.0000
Bi 0.8750 0.8396 0.7500
Bi 0.5896 0.1250 0.2500
Bi 0.1604 0.6250 0.2500
Bi 0.3750 0.4104 0.7500
Al 0.0000 0.0000 0.0000
Al 0.7500 0.2500 0.5000

No. 3
Computed, not measured: Be3AlBi after structural relaxation at the PBE level of DFT.

Properties
The calculation puts the formation energy at 1014 meV/atom.

abc: 4.4757 4.4757 4.4757
angles: 90.00 90.00 90.00
Element x y z (fractional)
Be 0.0000 0.0000 0.5000
Be 0.5000 0.0000 0.0000
Be 0.0000 0.5000 0.0000
Bi 0.5000 0.5000 0.5000
Al 0.0000 0.0000 0.0000

No. 4
Computed, not measured: BeAl2Bi after structural relaxation at the PBE level of DFT.

Properties
The calculation puts the formation energy at 386 meV/atom.

abc: 4.8556 4.8556 8.3841
angles: 73.17 73.17 90.00
Element x y z (fractional)
Be 0.5000 0.5000 0.0000
Be 0.2500 0.7500 0.5000
Al 0.8750 0.7556 0.7500
Al 0.5056 0.1250 0.2500
Al 0.3750 0.4944 0.7500
Al 0.2444 0.6250 0.2500
Bi 0.0000 0.0000 0.0000
Bi 0.7500 0.2500 0.5000

No. 5
Computed, not measured: BeAl2Bi after structural relaxation at the PBE level of DFT.

Properties
The calculation puts the formation energy at 642 meV/atom.

abc: 4.8572 4.8572 4.8572
angles: 60.00 60.00 60.00
Element x y z (fractional)
Al 0.7500 0.7500 0.7500
Al 0.2500 0.2500 0.2500
Be 0.0000 0.0000 0.0000
Bi 0.5000 0.5000 0.5000

No. 6
Computed, not measured: Be3AlBi after structural relaxation at the PBE level of DFT.

Properties
The calculation puts the formation energy at 1504 meV/atom.

abc: 4.8260 4.8260 4.8260
angles: 90.00 90.00 90.00
Element x y z (fractional)
Al 0.5000 0.5000 0.5000
Be 0.0000 0.0000 0.5000
Be 0.5000 0.0000 0.0000
Be 0.0000 0.5000 0.0000
Bi 0.0000 0.0000 0.0000

No. 7
Computed, not measured: BeAlBi2 after structural relaxation at the PBE level of DFT.

Properties
The calculation puts the formation energy at 574 meV/atom.

abc: 5.0927 5.0927 5.0927
angles: 60.00 60.00 60.00
Element x y z (fractional)
Al 0.5000 0.5000 0.5000
Bi 0.2500 0.2500 0.2500
Bi 0.7500 0.7500 0.7500
Be 0.0000 0.0000 0.0000

No. 8
Computed, not measured: BeAl2CuBi after structural relaxation at the PBE level of DFT.

Properties
The calculation puts the formation energy at 546 meV/atom.

abc: 4.2811 5.5116 4.2811
angles: 90.00 90.00 90.00
Element x y z (fractional)
Bi 0.0000 0.5000 0.0000
Cu 0.5000 0.5000 0.5000
Al 0.0000 0.0000 0.5000
Al 0.5000 0.0000 0.0000
Be 0.0000 0.0000 0.0000

No. 9
Computed, not measured: BeAl2CuBi after structural relaxation at the PBE level of DFT.

Properties
The calculation puts the formation energy at 1382 meV/atom.

abc: 5.6626 4.4804 5.6626
angles: 90.00 90.00 90.00
Element x y z (fractional)
Al 0.5000 0.0000 0.0000
Al 0.0000 0.0000 0.5000
Bi 0.0000 0.0000 0.0000
Cu 0.5000 0.5000 0.5000
Be 0.0000 0.5000 0.0000

No. 10
Computed, not measured: NaBe2AlBi after structural relaxation at the PBE level of DFT.

Properties
The calculation puts the formation energy at 1103 meV/atom.

abc: 4.8367 5.7085 4.8367
angles: 90.00 90.00 90.00
Element x y z (fractional)
Na 0.0000 0.5000 0.0000
Be 0.0000 0.0000 0.5000
Be 0.5000 0.0000 0.0000
Al 0.5000 0.5000 0.5000
Bi 0.0000 0.0000 0.0000

No. 11
Computed, not measured: BeAlBi2Pt after structural relaxation at the PBE level of DFT.

Properties
The calculation puts the formation energy at 379 meV/atom.

abc: 5.1860 4.2628 5.1860
angles: 90.00 90.00 90.00
Element x y z (fractional)
Bi 0.0000 0.0000 0.5000
Bi 0.5000 0.0000 0.0000
Pt 0.0000 0.5000 0.0000
Be 0.0000 0.0000 0.0000
Al 0.5000 0.5000 0.5000

No. 12
Computed, not measured: BeAlBi2Sb after structural relaxation at the PBE level of DFT.

Properties
The value obtained for the formation energy from raw total energies is 4.20 eV/f.u.

abc: 6.1067 4.3144 6.1067
angles: 90.00 90.00 90.00
Element x y z (fractional)
Bi 0.0000 0.0000 0.5000
Bi 0.5000 0.0000 0.0000
Be 0.0000 0.5000 0.0000
Al 0.5000 0.5000 0.5000
Sb 0.0000 0.0000 0.0000

| no. | ρ (g cm⁻³) |
| --- | --- |
| 1 | 2.1 |
| 2 | 6.5 |
| 3 | 4.9 |
| 4 | 5.0 |
| 5 | 5.6 |
| 6 | 3.9 |
| 7 | 8.1 |
| 8 | 5.5 |
| 9 | 3.9 |
| 10 | 3.4 |
| 11 | 9.4 |
| 12 | 5.9 |